Material: Sc5PdRu4
Method: DFT, PBE
State: relaxed

a b c (Å): 3.2366 3.2366 16.0389
angles (deg): 90.00 90.00 90.00
Sites, in units of the cell vectors:
Sc: 0.0000 0.0000 0.0000
Sc: 0.0000 0.0000 0.1975
Sc: 0.0000 0.0000 0.3930
Sc: 0.0000 0.0000 0.6070
Sc: 0.0000 0.0000 0.8025
Pd: 0.5000 0.5000 0.5000
Ru: 0.5000 0.5000 0.0998
Ru: 0.5000 0.5000 0.3009
Ru: 0.5000 0.5000 0.6991
Ru: 0.5000 0.5000 0.9002

As for the space-group type: No. 123. The energy of formation from the pure elements comes out at -663 meV per atom.

***

Material: ScSiPdRu
Method: DFT, PBE
State: relaxed

a b c (Å): 6.2062 6.2062 6.2062
angles (deg): 90.00 90.00 90.00
Sites, in units of the cell vectors:
Sc: 0.0000 0.0000 0.0000
Sc: 0.0000 0.5000 0.5000
Sc: 0.5000 0.0000 0.5000
Sc: 0.5000 0.5000 0.0000
Si: 0.0000 0.0000 0.5000
Si: 0.0000 0.5000 0.0000
Si: 0.5000 0.0000 0.0000
Si: 0.5000 0.5000 0.5000
Pd: 0.2500 0.2500 0.7500
Pd: 0.2500 0.7500 0.2500
Pd: 0.7500 0.2500 0.2500
Pd: 0.7500 0.7500 0.7500
Ru: 0.2500 0.2500 0.2500
Ru: 0.2500 0.7500 0.7500
Ru: 0.7500 0.2500 0.7500
Ru: 0.7500 0.7500 0.2500

As for the formation energy (no corrections): -675 meV/atom. As for the space-group type: No. 216.

***

Material: SmScPdRu
Method: DFT, PBE
State: relaxed

a b c (Å): 6.7871 6.7871 6.7871
angles (deg): 90.00 90.00 90.00
Sites, in units of the cell vectors:
Sm: 0.0000 0.0000 0.0000
Sm: 0.0000 0.5000 0.5000
Sm: 0.5000 0.0000 0.5000
Sm: 0.5000 0.5000 0.0000
Sc: 0.0000 0.0000 0.5000
Sc: 0.0000 0.5000 0.0000
Sc: 0.5000 0.0000 0.0000
Sc: 0.5000 0.5000 0.5000
Pd: 0.2500 0.2500 0.2500
Pd: 0.2500 0.7500 0.7500
Pd: 0.7500 0.2500 0.7500
Pd: 0.7500 0.7500 0.2500
Ru: 0.2500 0.2500 0.7500
Ru: 0.2500 0.7500 0.2500
Ru: 0.7500 0.2500 0.2500
Ru: 0.7500 0.7500 0.7500

As for the space-group type: No. 216. The energy of formation from the pure elements comes out at -586 meV per atom.

***

Material: ScSnPdRu
Method: DFT, PBE
State: relaxed

a b c (Å): 6.4964 6.4964 6.4964
angles (deg): 90.00 90.00 90.00
Sites, in units of the cell vectors:
Sc: 0.0000 0.0000 0.0000
Sc: 0.0000 0.5000 0.5000
Sc: 0.5000 0.0000 0.5000
Sc: 0.5000 0.5000 0.0000
Sn: 0.0000 0.0000 0.5000
Sn: 0.0000 0.5000 0.0000
Sn: 0.5000 0.0000 0.0000
Sn: 0.5000 0.5000 0.5000
Pd: 0.2500 0.2500 0.7500
Pd: 0.2500 0.7500 0.2500
Pd: 0.7500 0.2500 0.2500
Pd: 0.7500 0.7500 0.7500
Ru: 0.2500 0.2500 0.2500
Ru: 0.2500 0.7500 0.7500
Ru: 0.7500 0.2500 0.7500
Ru: 0.7500 0.7500 0.2500

As for the space-group type: No. 216. The energy of formation from the pure elements comes out at -637 meV per atom.

***

Material: Sc4SnPd2Ru
Method: DFT, PBE
State: relaxed

a b c (Å): 8.2522 8.2522 8.2522
angles (deg): 33.29 33.29 33.29
Sites, in units of the cell vectors:
Sc: 0.1150 0.1150 0.1150
Sc: 0.3682 0.3682 0.3682
Sc: 0.6318 0.6318 0.6318
Sc: 0.8850 0.8850 0.8850
Sn: 0.5000 0.5000 0.5000
Pd: 0.2478 0.2478 0.2478
Pd: 0.7522 0.7522 0.7522
Ru: 0.0000 0.0000 0.0000

As for the space-group type: No. 166. The energy of formation from the pure elements comes out at -766 meV per atom.

***

Material: Sc3Sn3PdRu2
Method: DFT, PBE
State: relaxed

a b c (Å): 7.5833 7.5833 3.4612
angles (deg): 90.00 90.00 120.00
Sites, in units of the cell vectors:
Sc: 0.0000 0.3938 0.0000
Sc: 0.3938 0.0000 0.0000
Sc: 0.6062 0.6062 0.0000
Sn: 0.0000 0.7193 0.5000
Sn: 0.2807 0.2807 0.5000
Sn: 0.7193 0.0000 0.5000
Pd: 0.0000 0.0000 0.0000
Ru: 0.3333 0.6667 0.5000
Ru: 0.6667 0.3333 0.5000

As for the space-group type: No. 189. The energy of formation from the pure elements comes out at -630 meV per atom.

***

Material: ThScPdRu
Method: DFT, PBE
State: relaxed

a b c (Å): 6.8967 6.8967 6.8967
angles (deg): 90.00 90.00 90.00
Sites, in units of the cell vectors:
Th: 0.0000 0.0000 0.0000
Th: 0.0000 0.5000 0.5000
Th: 0.5000 0.0000 0.5000
Th: 0.5000 0.5000 0.0000
Sc: 0.0000 0.0000 0.5000
Sc: 0.0000 0.5000 0.0000
Sc: 0.5000 0.0000 0.0000
Sc: 0.5000 0.5000 0.5000
Pd: 0.2500 0.2500 0.2500
Pd: 0.2500 0.7500 0.7500
Pd: 0.7500 0.2500 0.7500
Pd: 0.7500 0.7500 0.2500
Ru: 0.2500 0.2500 0.7500
Ru: 0.2500 0.7500 0.2500
Ru: 0.7500 0.2500 0.2500
Ru: 0.7500 0.7500 0.7500

As for the space-group type: No. 216. The energy of formation from the pure elements comes out at -603 meV per atom.

***

Material: ScTlPdRu
Method: DFT, PBE
State: relaxed

a b c (Å): 6.5509 6.5509 6.5509
angles (deg): 90.00 90.00 90.00
Sites, in units of the cell vectors:
Sc: 0.0000 0.0000 0.0000
Sc: 0.0000 0.5000 0.5000
Sc: 0.5000 0.0000 0.5000
Sc: 0.5000 0.5000 0.0000
Tl: 0.0000 0.0000 0.5000
Tl: 0.0000 0.5000 0.0000
Tl: 0.5000 0.0000 0.0000
Tl: 0.5000 0.5000 0.5000
Pd: 0.2500 0.2500 0.7500
Pd: 0.2500 0.7500 0.2500
Pd: 0.7500 0.2500 0.2500
Pd: 0.7500 0.7500 0.7500
Ru: 0.2500 0.2500 0.2500
Ru: 0.2500 0.7500 0.7500
Ru: 0.7500 0.2500 0.7500
Ru: 0.7500 0.7500 0.2500

As for the space-group type: No. 216. The energy of formation from the pure elements comes out at -339 meV per atom.

***

| no. | Fermi-level density of states (states/eV/atom) |
| --- | --- |
| 1 | 0.70 |
| 2 | 1.03 |
| 3 | 0.46 |
| 4 | 1.06 |
| 5 | 0.38 |
| 6 | 0.99 |
| 7 | 0.89 |
| 8 | 0.34 |